[1]
First-principles (PBE-GGA) data for a geometry-optimized AsIrS structure, as listed in the Alexandria database. Values from VASP.

- E_form (uncorrected) (eV per atom) = -0.540
- magnetic moment (μB/f.u.) = 0.0
- SG = Pmn2_1

```
&SYSTEM
  ibrav = 0, nat = 6, ntyp = 3
/
ATOMIC_SPECIES
As 74.92 As.upf
Ir 192.22 Ir.upf
S 32.06 S.upf
ATOMIC_POSITIONS angstrom
As 0.000 2.566 4.770
As 1.872 2.169 1.843
Ir 0.000 3.579 1.135
Ir 1.872 1.155 4.061
S 0.000 4.477 3.362
S 1.872 0.258 0.435
CELL_PARAMETERS angstrom
3.745 0.000 0.000
0.000 4.735 0.000
0.000 0.000 5.853
```


[2]
First-principles (PBE-GGA) data for a geometry-optimized RePt5 structure, as listed in the Alexandria database. Values from VASP.

- ΔH_f (0 K) (kcal/mol of atoms) = 13.98
- magnetic moment (μB/f.u.) = 3.6
- energy relative to the lowest polymorph listed for this composition (meV/atom) = 703
- SG = P6/mmm

```
&SYSTEM
  ibrav = 0, nat = 6, ntyp = 2
/
ATOMIC_SPECIES
Re 186.21 Re.upf
Pt 195.08 Pt.upf
ATOMIC_POSITIONS angstrom
Re 0.000 0.000 0.000
Pt 1.287 2.230 2.297
Pt 2.575 1.486 0.000
Pt 1.287 -2.230 2.297
Pt 2.575 0.000 2.297
Pt 2.575 -1.486 0.000
CELL_PARAMETERS angstrom
2.575 -4.459 0.000
2.575 4.459 0.000
0.000 0.000 4.593
```


[3]
First-principles (PBE-GGA) data for a geometry-optimized ZnFeH3 structure, as listed in the Alexandria database. Values from VASP.

- magnetic moment (μB/f.u.) = 3.0
- energy relative to the lowest polymorph listed for this composition (meV/atom) = 605
- SG = Pm-3m

```
&SYSTEM
  ibrav = 0, nat = 5, ntyp = 3
/
ATOMIC_SPECIES
H 1.01 H.upf
Zn 65.41 Zn.upf
Fe 55.84 Fe.upf
ATOMIC_POSITIONS angstrom
H -0.880 -1.009 1.078
H -1.182 1.233 0.189
H -0.884 -0.645 -1.326
Zn 0.000 0.000 0.000
Fe -2.947 -0.420 -0.059
CELL_PARAMETERS angstrom
-1.768 -1.289 -2.652
-1.761 -2.018 2.155
-2.365 2.467 0.378
```


[4]
First-principles (PBE-GGA) data for a geometry-optimized CaTb2O structure, as listed in the Alexandria database. Values from VASP.

- E_form (uncorrected) (eV per atom) = -1.196
- magnetic moment (μB/f.u.) = 0.0
- SG = R-3m

```
&SYSTEM
  ibrav = 0, nat = 4, ntyp = 3
/
ATOMIC_SPECIES
Ca 40.08 Ca.upf
Tb 158.93 Tb.upf
O 16.00 O.upf
ATOMIC_POSITIONS angstrom
Ca 0.000 0.000 0.000
Tb -4.536 3.375 2.747
Tb -4.687 -0.852 5.149
O -4.611 1.261 3.948
CELL_PARAMETERS angstrom
-2.494 -2.319 1.040
-0.135 -1.066 3.395
-6.594 5.908 3.461
```


[5]
First-principles (PBE-GGA) data for a geometry-optimized Dy2Ho5Th2 structure, as listed in the Alexandria database. Values from VASP.

- ΔH_f (0 K) (kcal/mol of atoms) = 5.66
- magnetic moment (μB/f.u.) = 0.0
- energy relative to the lowest polymorph listed for this composition (meV/atom) = 0
- SG = Ima2

```
&SYSTEM
  ibrav = 0, nat = 18, ntyp = 3
/
ATOMIC_SPECIES
Dy 162.50 Dy.upf
Ho 164.93 Ho.upf
Th 232.04 Th.upf
ATOMIC_POSITIONS angstrom
Dy -3.949 0.277 -0.942
Dy -4.110 3.632 5.961
Dy -1.691 4.851 3.446
Dy -6.367 -0.942 1.573
Ho -5.265 -4.482 2.473
Ho -4.411 8.902 1.237
Ho -2.769 -5.403 4.426
Ho -1.928 8.253 3.311
Ho -1.016 1.601 2.903
Ho -5.605 1.855 3.278
Ho -3.528 2.902 1.118
Ho -3.094 0.554 5.063
Ho -4.325 -3.084 -0.217
Ho -2.286 6.537 6.406
Th -0.080 0.025 -0.065
Th -2.803 6.219 0.318
Th -2.827 -1.097 2.186
Th -5.551 5.107 2.574
CELL_PARAMETERS angstrom
-0.468 10.818 4.793
-4.978 1.569 -4.027
-2.118 -8.634 4.651
```


[6]
First-principles (PBE-GGA) data for a geometry-optimized CePuHgRh structure, as listed in the Alexandria database. Values from VASP.

- ΔH_f (0 K) (kcal/mol of atoms) = -9.16
- magnetic moment (μB/f.u.) = 6.2
- energy relative to the lowest polymorph listed for this composition (meV/atom) = 0
- SG = P4mm

```
&SYSTEM
  ibrav = 0, nat = 4, ntyp = 4
/
ATOMIC_SPECIES
Ce 140.12 Ce.upf
Pu 244.00 Pu.upf
Hg 200.59 Hg.upf
Rh 102.91 Rh.upf
ATOMIC_POSITIONS angstrom
Ce -2.352 -4.921 3.740
Pu -1.012 -3.424 1.074
Hg -0.228 -0.255 0.454
Rh -1.815 -2.026 3.609
CELL_PARAMETERS angstrom
-2.141 -1.792 -2.082
2.365 -2.546 -0.240
-3.155 -3.523 6.275
```


[7]
First-principles (PBE-GGA) data for a geometry-optimized P2Au structure, as listed in the Alexandria database. Values from VASP.

- ΔH_f (0 K) (kcal/mol of atoms) = 7.50
- magnetic moment (μB/f.u.) = 0.0
- SG = C2/m

```
&SYSTEM
  ibrav = 0, nat = 6, ntyp = 2
/
ATOMIC_SPECIES
P 30.97 P.upf
Au 196.97 Au.upf
ATOMIC_POSITIONS angstrom
P 8.710 -5.880 -7.486
P 1.012 -5.251 -2.495
P 8.330 -9.677 -8.601
P 1.392 -1.455 -1.380
Au 4.928 -4.009 -4.478
Au 4.794 -7.122 -5.502
CELL_PARAMETERS angstrom
4.733 -2.208 -5.376
6.094 -2.990 -3.178
-1.105 -5.933 -1.427
```


[8]
First-principles (PBE-GGA) data for a geometry-optimized CoRe3 structure, as listed in the Alexandria database. Values from VASP.

- ΔH_f (0 K) (kcal/mol of atoms) = 2.14
- magnetic moment (μB/f.u.) = 0.0
- SG = P4/mmm

```
&SYSTEM
  ibrav = 0, nat = 4, ntyp = 2
/
ATOMIC_SPECIES
Co 58.93 Co.upf
Re 186.21 Re.upf
ATOMIC_POSITIONS angstrom
Co 0.000 0.000 0.000
Re 0.000 0.000 3.793
Re 1.347 1.360 1.786
Re 1.347 1.360 5.801
CELL_PARAMETERS angstrom
2.707 0.013 0.000
-0.014 2.707 0.000
0.000 0.000 7.587
```